1.
Pm2SnGe4Pd3 | PBE | optimized geometry

It has space group P-4m2 (No. 115), with a = 4.3285 Å, b = 4.3285 Å, c = 10.8136 Å, α = 90.00°, β = 90.00° and γ = 90.00°. The asymmetric unit holds Pm at (0.0000, 0.5000, 0.2354), Sn at (0.0000, 0.0000, 0.5000), Ge at (0.0000, 0.0000, 0.0000), Ge at (0.0000, 0.5000, 0.6542), Ge at (0.5000, 0.5000, 0.0000), Pd at (0.0000, 0.5000, 0.8778) and Pd at (0.5000, 0.5000, 0.5000).

For the magnetization, the calculation gives 0.0 μB per formula unit. The calculation puts the total DFT energy (no corrections) at -5.435 eV/atom. As for the calculated formation energy: -0.680 eV per atom.


2.
VSiMo | PBE | optimized geometry

It has space group P-1 (No. 2), with a = 2.7151 Å, b = 4.9962 Å, c = 6.6851 Å, α = 74.75°, β = 81.45° and γ = 77.97°. The asymmetric unit holds V at (0.0949, 0.1561, 0.1532), Si at (0.4098, 0.6206, 0.1735) and Mo at (0.2486, 0.2423, 0.5117).

The uncorrected formation energy is -0.2164 eV/atom. For the magnetization, the calculation gives 0.0 μB per formula unit. The calculation puts the total DFT energy (no corrections) at -8.674 eV/atom.


3.
DyEr3Hg2 | PBE | optimized geometry

It has space group Pmc2_1 (No. 26), with a = 5.0704 Å, b = 9.1641 Å, c = 7.0211 Å, α = 90.00°, β = 90.00° and γ = 90.00°. The asymmetric unit holds Dy at (0.0000, 0.0552, 0.0000), Er at (0.0000, 0.3260, 0.6538), Er at (0.5000, 0.1761, 0.3153), Er at (0.5000, 0.4447, 0.9684), Hg at (0.0000, 0.3511, 0.2223) and Hg at (0.5000, 0.1493, 0.7465).

The offset from the most stable computed form is 0 meV/atom. For the magnetization, the calculation gives 0.0 μB per formula unit. The calculation puts the total DFT energy (no corrections) at -3.514 eV/atom. As for the calculated formation energy: -0.365 eV per atom.


4.
LaNd5Dy6 | PBE | optimized geometry

It has space group Immm (No. 71), with a = 5.1471 Å, b = 10.1452 Å, c = 15.3959 Å, α = 90.00°, β = 90.00° and γ = 90.00°. The asymmetric unit holds La at (0.0000, 0.0000, 0.0000), Nd at (0.0000, 0.0000, 0.3329), Nd at (0.0000, 0.5000, 0.0000), Nd at (0.0000, 0.5000, 0.3325), Dy at (0.0000, 0.2486, 0.5000) and Dy at (0.0000, 0.2507, 0.1669).

The offset from the most stable computed form is 6 meV/atom. For the magnetization, the calculation gives 0.0 μB per formula unit. The calculation puts the total DFT energy (no corrections) at -4.681 eV/atom. As for the calculated formation energy: 0.018 eV per atom.


5.
LiBe2W | PBE | optimized geometry

It has space group Cm (No. 8), with a = 9.1433 Å, b = 2.4854 Å, c = 4.4183 Å, α = 90.00°, β = 107.66° and γ = 90.00°. The asymmetric unit holds Li at (0.0000, 0.0000, 0.0000), Be at (0.2552, 0.5000, 0.1520), Be at (0.4545, 0.0000, 0.4851) and W at (0.2053, 0.0000, 0.6215).

The offset from the most stable computed form is 75 meV/atom. For the magnetization, the calculation gives 0.0 μB per formula unit. The calculation puts the total DFT energy (no corrections) at -5.331 eV/atom. As for the calculated formation energy: 0.249 eV per atom.


6.
ReAsPCl2 | PBE | optimized geometry

It has space group P4/mmm (No. 123), with a = 4.7980 Å, b = 4.7980 Å, c = 4.7528 Å, α = 90.00°, β = 90.00° and γ = 90.00°. The asymmetric unit holds Re at (0.0000, 0.0000, 0.0000), As at (0.5000, 0.5000, 0.5000), P at (0.0000, 0.0000, 0.5000) and Cl at (0.0000, 0.5000, 0.0000).

The uncorrected formation energy is 0.6807 eV/atom. The offset from the most stable computed form is 0 meV/atom. For the magnetization, the calculation gives 3.1 μB per formula unit. The calculation puts the total DFT energy (no corrections) at -4.559 eV/atom.


7.
HgTe3Mo | PBE | optimized geometry

It has space group Pm-3m (No. 221), with a = 5.5653 Å, b = 5.5653 Å, c = 5.5653 Å, α = 90.00°, β = 90.00° and γ = 90.00°. The asymmetric unit holds Hg at (0.0000, 0.0000, 0.0000), Te at (0.0000, 0.0000, 0.5000) and Mo at (0.5000, 0.5000, 0.5000).

The uncorrected formation energy is 1.2889 eV/atom. The offset from the most stable computed form is 949 meV/atom. For the magnetization, the calculation gives 3.4 μB per formula unit. The calculation puts the total DFT energy (no corrections) at -2.823 eV/atom.


8.
MgAl2Pt9 | PBE | optimized geometry

It has space group P4/mmm (No. 123), with a = 3.9361 Å, b = 3.9361 Å, c = 11.7903 Å, α = 90.00°, β = 90.00° and γ = 90.00°. The asymmetric unit holds Mg at (0.0000, 0.0000, 0.0000), Al at (0.0000, 0.0000, 0.3326), Pt at (0.0000, 0.5000, 0.1707), Pt at (0.0000, 0.5000, 0.5000), Pt at (0.5000, 0.5000, 0.0000) and Pt at (0.5000, 0.5000, 0.3353).

For the magnetization, the calculation gives 0.0 μB per formula unit. The calculation puts the total DFT energy (no corrections) at -5.952 eV/atom. As for the calculated formation energy: -0.665 eV per atom.


9.
LaSe2Cl | PBE | optimized geometry

It has space group Cmm2 (No. 35), with a = 4.9087 Å, b = 6.4417 Å, c = 7.7186 Å, α = 90.00°, β = 90.00° and γ = 90.00°. The asymmetric unit holds La at (0.0000, 0.0000, 0.0000), Se at (0.0000, 0.0000, 0.3576), Se at (0.0000, 0.5000, 0.2306) and Cl at (0.0000, 0.5000, 0.7890).

The uncorrected formation energy is -1.1210 eV/atom. The offset from the most stable computed form is 403 meV/atom. For the magnetization, the calculation gives 0.0 μB per formula unit. The calculation puts the total DFT energy (no corrections) at -4.557 eV/atom.


10.
Mn2AsRh | PBE | optimized geometry

It has space group I4/mmm (No. 139), with a = 3.8626 Å, b = 3.8626 Å, c = 7.7181 Å, α = 90.00°, β = 90.00° and γ = 90.00°. The asymmetric unit holds Mn at (0.0000, 0.5000, 0.2500), As at (0.0000, 0.0000, 0.0000) and Rh at (0.0000, 0.0000, 0.5000).

For the magnetization, the calculation gives 7.4 μB per formula unit. The calculation puts the total DFT energy (no corrections) at -7.639 eV/atom. As for the calculated formation energy: -0.054 eV per atom.


11.
MgBeF | PBE | optimized geometry

It has space group Cm (No. 8), with a = 7.9443 Å, b = 2.8393 Å, c = 7.1185 Å, α = 90.00°, β = 106.48° and γ = 90.00°. The asymmetric unit holds Mg at (0.0000, 0.0000, 0.0000), Mg at (0.0128, 0.0000, 0.4622), Be at (0.1812, 0.5000, 0.7556), Be at (0.3591, 0.0000, 0.6700), F at (0.1939, 0.5000, 0.0034) and F at (0.4923, 0.0000, 0.2213).

The uncorrected formation energy is -1.3135 eV/atom. The offset from the most stable computed form is 31 meV/atom. For the magnetization, the calculation gives 0.0 μB per formula unit. The calculation puts the total DFT energy (no corrections) at -3.711 eV/atom.


12.
Ba8CuPt3 | PBE | optimized geometry

It has space group C2/m (No. 12), with a = 15.9014 Å, b = 9.3361 Å, c = 9.2831 Å, α = 90.00°, β = 124.87° and γ = 90.00°. The asymmetric unit holds Ba at (0.0088, 0.2430, 0.2446), Ba at (0.2436, 0.0000, 0.2599), Ba at (0.2481, 0.5000, 0.2694), Cu at (0.0000, 0.5000, 0.0000), Pt at (0.0000, 0.0000, 0.0000) and Pt at (0.2500, 0.2500, 0.5000).

For the magnetization, the calculation gives 0.0 μB per formula unit. The calculation puts the total DFT energy (no corrections) at -3.610 eV/atom. As for the calculated formation energy: -0.477 eV per atom.


13.
GdHoCdTc | PBE | optimized geometry

It has space group F-43m (No. 216), with a = 7.1447 Å, b = 7.1447 Å, c = 7.1447 Å, α = 90.00°, β = 90.00° and γ = 90.00°. The asymmetric unit holds Gd at (0.0000, 0.0000, 0.0000), Ho at (0.0000, 0.0000, 0.5000), Cd at (0.2500, 0.2500, 0.7500) and Tc at (0.2500, 0.2500, 0.2500).

For the magnetization, the calculation gives 7.2 μB per formula unit. The calculation puts the total DFT energy (no corrections) at -7.570 eV/atom. As for the calculated formation energy: -0.085 eV per atom.


14.
LiTb2Pb | PBE | optimized geometry

It has space group P4/mmm (No. 123), with a = 4.9441 Å, b = 4.9441 Å, c = 4.3533 Å, α = 90.00°, β = 90.00° and γ = 90.00°. The asymmetric unit holds Li at (0.0000, 0.0000, 0.0000), Tb at (0.0000, 0.5000, 0.5000) and Pb at (0.5000, 0.5000, 0.0000).

For the magnetization, the calculation gives 0.3 μB per formula unit. The calculation puts the total DFT energy (no corrections) at -4.021 eV/atom. As for the calculated formation energy: -0.300 eV per atom.


15.
K3AlRu | PBE | optimized geometry

It has space group Pm-3m (No. 221), with a = 5.8844 Å, b = 5.8844 Å, c = 5.8844 Å, α = 90.00°, β = 90.00° and γ = 90.00°. The asymmetric unit holds K at (0.0000, 0.0000, 0.5000), Al at (0.5000, 0.5000, 0.5000) and Ru at (0.0000, 0.0000, 0.0000).

For the magnetization, the calculation gives 0.0 μB per formula unit. The calculation puts the total DFT energy (no corrections) at -1.989 eV/atom. As for the calculated formation energy: 1.274 eV per atom.


16.
Er8Co3Rh2 | PBE | optimized geometry

It has space group Cmmm (No. 65), with a = 9.3800 Å, b = 13.3856 Å, c = 4.6858 Å, α = 90.00°, β = 90.00° and γ = 90.00°. The asymmetric unit holds Er at (0.0000, 0.1204, 0.0000), Er at (0.0000, 0.3786, 0.0000), Er at (0.2488, 0.3794, 0.5000), Co at (0.0000, 0.5000, 0.5000), Co at (0.2458, 0.5000, 0.0000) and Rh at (0.0000, 0.2506, 0.5000).

For the magnetization, the calculation gives 0.0 μB per formula unit. The calculation puts the total DFT energy (no corrections) at -5.977 eV/atom. As for the calculated formation energy: -0.398 eV per atom.


17.
Tb2Dy2Ho4Tm | PBE | optimized geometry

It has space group C2/m (No. 12), with a = 18.4706 Å, b = 3.5563 Å, c = 9.4475 Å, α = 90.00°, β = 115.74° and γ = 90.00°. The asymmetric unit holds Tb at (0.1479, 0.0000, 0.1656), Dy at (0.1661, 0.5000, 0.5003), Ho at (0.0187, 0.5000, 0.8325), Ho at (0.1850, 0.0000, 0.8336) and Tm at (0.0000, 0.0000, 0.5000).

For the magnetization, the calculation gives 0.0 μB per formula unit. The calculation puts the total DFT energy (no corrections) at -4.582 eV/atom. As for the calculated formation energy: 0.001 eV per atom.


18.
RbTiS2 | PBE | optimized geometry

It has space group Cc (No. 9), with a = 9.8252 Å, b = 9.6325 Å, c = 7.1182 Å, α = 90.00°, β = 133.61° and γ = 90.00°. The asymmetric unit holds Rb at (0.0000, 0.1248, 0.0000), Ti at (0.4618, 0.1249, 0.0002), S at (0.2689, 0.3152, 0.8776) and S at (0.3919, 0.0658, 0.6225).

The uncorrected formation energy is -1.2291 eV/atom. For the magnetization, the calculation gives 1.0 μB per formula unit. The calculation puts the total DFT energy (no corrections) at -5.508 eV/atom.


19.
LaEr12Sc6 | PBE | optimized geometry

It has space group R-3m (No. 166, hexagonal axes), with a = 14.4099 Å, b = 14.4099 Å, c = 9.9727 Å, α = 90.00°, β = 90.00° and γ = 120.00°. The asymmetric unit holds La at (0.0000, 0.0000, 0.0000), Er at (0.0000, 0.3870, 0.5000), Er at (0.0759, 0.1518, 0.3046) and Sc at (0.0546, 0.5273, 0.2227).

For the magnetization, the calculation gives 0.0 μB per formula unit. The calculation puts the total DFT energy (no corrections) at -4.729 eV/atom. As for the calculated formation energy: 0.411 eV per atom.


20.
AcCeTlPd | PBE | optimized geometry

It has space group F-43m (No. 216), with a = 7.7487 Å, b = 7.7487 Å, c = 7.7487 Å, α = 90.00°, β = 90.00° and γ = 90.00°. The asymmetric unit holds Ac at (0.0000, 0.0000, 0.0000), Ce at (0.0000, 0.0000, 0.5000), Tl at (0.2500, 0.2500, 0.7500) and Pd at (0.2500, 0.2500, 0.2500).

For the magnetization, the calculation gives 0.8 μB per formula unit. The calculation puts the total DFT energy (no corrections) at -4.752 eV/atom. As for the calculated formation energy: -0.352 eV per atom.


21.
LaP2SBr | PBE | optimized geometry

It has space group P4/mmm (No. 123), with a = 4.9055 Å, b = 4.9055 Å, c = 4.8411 Å, α = 90.00°, β = 90.00° and γ = 90.00°. The asymmetric unit holds La at (0.0000, 0.0000, 0.0000), P at (0.0000, 0.5000, 0.5000), S at (0.5000, 0.5000, 0.0000) and Br at (0.5000, 0.5000, 0.5000).

The uncorrected formation energy is 0.1860 eV/atom. The offset from the most stable computed form is 0 meV/atom. For the magnetization, the calculation gives 0.0 μB per formula unit. The calculation puts the total DFT energy (no corrections) at -4.123 eV/atom.


22.
SbRhS2Cl | PBE | optimized geometry

It has space group P4/mmm (No. 123), with a = 4.7258 Å, b = 4.7258 Å, c = 4.6115 Å, α = 90.00°, β = 90.00° and γ = 90.00°. The asymmetric unit holds Sb at (0.0000, 0.0000, 0.0000), Rh at (0.5000, 0.5000, 0.5000), S at (0.0000, 0.5000, 0.5000) and Cl at (0.5000, 0.5000, 0.0000).

The uncorrected formation energy is 0.1273 eV/atom. The offset from the most stable computed form is 0 meV/atom. For the magnetization, the calculation gives 0.0 μB per formula unit. The calculation puts the total DFT energy (no corrections) at -4.188 eV/atom.


23.
CsLiHg2Au | PBE | optimized geometry

It has space group P4/mmm (No. 123), with a = 5.4221 Å, b = 5.4221 Å, c = 5.2939 Å, α = 90.00°, β = 90.00° and γ = 90.00°. The asymmetric unit holds Cs at (0.0000, 0.0000, 0.0000), Li at (0.5000, 0.5000, 0.5000), Hg at (0.0000, 0.5000, 0.5000) and Au at (0.5000, 0.5000, 0.0000).

The offset from the most stable computed form is 0 meV/atom. For the magnetization, the calculation gives 0.0 μB per formula unit. The calculation puts the total DFT energy (no corrections) at -1.551 eV/atom. As for the calculated formation energy: -0.222 eV per atom.


24.
BH4 | PBE | optimized geometry

It has space group P2/c (No. 13), with a = 4.5267 Å, b = 4.0835 Å, c = 4.9746 Å, α = 90.00°, β = 118.79° and γ = 90.00°. The asymmetric unit holds B at (0.0000, 0.1218, 0.2500), H at (0.9999, 0.1602, 0.6366) and H at (0.2707, 0.2498, 0.3684).

The offset from the most stable computed form is 0 meV/atom. For the magnetization, the calculation gives 0.2 μB per formula unit. The calculation puts the total DFT energy (no corrections) at -3.819 eV/atom.


25.
Sr2LaB | PBE | optimized geometry

It has space group I-42d (No. 122), with a = 10.9388 Å, b = 10.9388 Å, c = 5.0743 Å, α = 90.00°, β = 90.00° and γ = 90.00°. The asymmetric unit holds Sr at (0.0989, 0.2500, 0.1250), La at (0.0000, 0.0000, 0.5000) and B at (0.0000, 0.0000, 0.0000).

For the magnetization, the calculation gives 0.0 μB per formula unit. The calculation puts the total DFT energy (no corrections) at -3.279 eV/atom. As for the calculated formation energy: 0.464 eV per atom.